No. 1
A plane-wave DFT calculation with PBE-GGA was carried out for an optimized crystal structure of BaNaW.

Raw total energy = -3.65 eV/atom
Mass density = 5.045 g/cm³
M_tot = 14.79 μB/cell

a = 7.6805 Å, b = 7.6805 Å, c = 7.6805 Å
α = 90.00°, β = 90.00°, γ = 90.00°
Closest atoms and distances in Å follow each position.
Space group F-43m (No. 216)
Unique sites:
1 Ba 0.0000 0.0000 0.0000 (multiplicity 4)  4 W 3.33
2 Na 0.0000 0.0000 0.5000 (multiplicity 4)  4 W 3.33
3 W 0.2500 0.2500 0.2500 (multiplicity 4)  4 Ba 3.33, 4 Na 3.33



No. 2
A plane-wave DFT calculation with PBE-GGA was carried out for an optimized crystal structure of LuMgCoSn.

Raw total energy = -4.41 eV/atom
Mass density = 7.935 g/cm³
M_tot = 4.32 μB/cell

a = 6.8078 Å, b = 6.8078 Å, c = 6.8078 Å
α = 90.00°, β = 90.00°, γ = 90.00°
Closest atoms and distances in Å follow each position.
Space group F-43m (No. 216)
Unique sites:
1 Lu 0.0000 0.0000 0.0000 (multiplicity 4)  4 Sn 2.95, 4 Co 2.95
2 Mg 0.0000 0.0000 0.5000 (multiplicity 4)  4 Co 2.95, 4 Sn 2.95
3 Co 0.2500 0.2500 0.7500 (multiplicity 4)  4 Mg 2.95, 4 Lu 2.95
4 Sn 0.2500 0.2500 0.2500 (multiplicity 4)  4 Mg 2.95, 4 Lu 2.95



No. 3
A plane-wave DFT calculation with PBE-GGA was carried out for an optimized crystal structure of Tb2Ga.

Raw total energy = -3.78 eV/atom
Mass density = 7.726 g/cm³
M_tot = 0.00 μB/cell

a = 8.7346 Å, b = 8.7346 Å, c = 8.7346 Å
α = 90.00°, β = 90.00°, γ = 90.00°
Closest atoms and distances in Å follow each position.
Space group Fd-3m (No. 227, origin choice 2)
Unique sites:
1 Tb 0.0000 0.0000 0.0000 (multiplicity 16)  6 Tb 3.09
2 Ga 0.1250 0.1250 0.6250 (multiplicity 8)  12 Tb 3.62, 4 Ga 3.78



No. 4
A plane-wave DFT calculation with PBE-GGA was carried out for an optimized crystal structure of NbAsPdO.

Raw total energy = -7.04 eV/atom
Mass density = 6.853 g/cm³
M_tot = 0.00 μB/cell

a = 3.6220 Å, b = 6.0778 Å, c = 6.3892 Å
α = 90.00°, β = 90.00°, γ = 90.00°
Closest atoms and distances in Å follow each position.
Space group Pmc2_1 (No. 26)
Unique sites:
1 Nb 0.0000 0.1511 0.0000 (multiplicity 2)  2 O 1.98
2 As 0.0000 0.2539 0.3965 (multiplicity 2)  2 Pd 2.45, 2 Nb 2.55-2.61
3 Pd 0.5000 0.2156 0.6520 (multiplicity 2)  1 O 2.17
4 O 0.5000 0.2824 0.9858 (multiplicity 2)  2 Nb 1.98, 1 Pd 2.17



No. 5
A plane-wave DFT calculation with PBE-GGA was carried out for an optimized crystal structure of LiTcSn.

Raw total energy = -4.98 eV/atom
Mass density = 6.312 g/cm³
M_tot = 3.78 μB/cell

a = 6.1741 Å, b = 6.1741 Å, c = 6.1741 Å
α = 90.00°, β = 90.00°, γ = 90.00°
Closest atoms and distances in Å follow each position.
Space group F-43m (No. 216)
Unique sites:
1 Li 0.0000 0.0000 0.0000 (multiplicity 4)  4 Sn 2.67
2 Tc 0.0000 0.0000 0.5000 (multiplicity 4)  4 Sn 2.67
3 Sn 0.2500 0.2500 0.2500 (multiplicity 4)  4 Li 2.67, 4 Tc 2.67



No. 6
A plane-wave DFT calculation with PBE-GGA was carried out for an optimized crystal structure of HoNbN2O.

Raw total energy = -8.99 eV/atom
Mass density = 8.021 g/cm³
M_tot = 0.00 μB/cell

a = 7.8207 Å, b = 5.6304 Å, c = 5.6764 Å
α = 90.00°, β = 90.00°, γ = 90.00°
Closest atoms and distances in Å follow each position.
Space group Pmc2_1 (No. 26)
Unique sites:
1 Ho 0.0000 0.2209 0.0000 (multiplicity 2)  1 O 2.27, 4 N 2.30-2.43
2 Ho 0.5000 0.2791 0.0043 (multiplicity 2)  1 O 2.27, 4 N 2.30-2.43
3 Nb 0.2499 0.2501 0.4931 (multiplicity 4)  4 N 1.96-2.18, 2 O 2.09
4 N 0.1820 0.0017 0.2697 (multiplicity 4)  2 Nb 1.96-2.18
5 N 0.3179 0.4987 0.7727 (multiplicity 4)  2 Nb 1.96-2.18
6 O 0.0000 0.3767 0.5299 (multiplicity 2)  2 Nb 2.09, 1 Ho 2.27
7 O 0.5000 0.1234 0.5266 (multiplicity 2)  2 Nb 2.09, 1 Ho 2.27



Repeat the fifth record exactly.
A plane-wave DFT calculation with PBE-GGA was carried out for an optimized crystal structure of LiTcSn.

Raw total energy = -4.98 eV/atom
Mass density = 6.312 g/cm³
M_tot = 3.78 μB/cell

a = 6.1741 Å, b = 6.1741 Å, c = 6.1741 Å
α = 90.00°, β = 90.00°, γ = 90.00°
Closest atoms and distances in Å follow each position.
Space group F-43m (No. 216)
Unique sites:
1 Li 0.0000 0.0000 0.0000 (multiplicity 4)  4 Sn 2.67
2 Tc 0.0000 0.0000 0.5000 (multiplicity 4)  4 Sn 2.67
3 Sn 0.2500 0.2500 0.2500 (multiplicity 4)  4 Li 2.67, 4 Tc 2.67



Q: What is the raw total energy in the fourth record?
A: -7.04 eV/atom



Q: Which formula does entry 5 have?
A: LiTcSn